1.
Pa3RhN6 after structural relaxation. Source: Alexandria, functional PBE.

Output
- Raw formation energy: -112 kJ per mole of atoms
- V: 14.18 A^3/atom
- Magnetization: 0.000 μB/atom
- D(E_F): 11.5 states/eV per cell
- VASP energy: -97.408 eV per formula unit

abc: 5.527 7.248 7.248
angles: 102.31 90.00 90.00
Atoms (fractional coordinates):
Pa  0.459  0.914  0.690
Pa  0.959  0.690  0.914
Pa  0.421  0.393  0.607
Pa  0.921  0.607  0.393
Pa  0.959  0.086  0.310
Pa  0.459  0.310  0.086
Rh  0.992  0.187  0.813
Rh  0.492  0.813  0.187
N  0.188  0.672  0.643
N  0.688  0.643  0.672
N  0.207  0.428  0.893
N  0.707  0.893  0.428
N  0.223  0.041  0.959
N  0.642  0.214  0.786
N  0.142  0.786  0.214
N  0.723  0.959  0.041
N  0.207  0.107  0.572
N  0.707  0.572  0.107
N  0.188  0.357  0.328
N  0.688  0.328  0.357

***

2.
Pa3Rh5N12 after structural relaxation. Source: Alexandria, functional PBE.

Output
- Raw formation energy: -17 kJ per mole of atoms
- V: 12.59 A^3/atom
- Magnetization: 0.000 μB/atom
- D(E_F): 55.0 states/eV per cell
- VASP energy: -168.638 eV per formula unit

abc: 10.938 10.938 10.938
angles: 109.47 109.47 109.47
Atoms (fractional coordinates):
Pa  0.750  0.375  0.125
Pa  0.875  0.750  0.125
Pa  0.375  0.750  0.625
Pa  0.250  0.125  0.375
Pa  0.875  0.125  0.250
Pa  0.375  0.625  0.250
Pa  0.625  0.375  0.750
Pa  0.125  0.875  0.750
Pa  0.750  0.875  0.625
Pa  0.625  0.250  0.375
Pa  0.125  0.250  0.875
Pa  0.250  0.625  0.875
Rh  0.125  0.375  0.250
Rh  0.000  0.500  0.000
Rh  0.000  0.000  0.000
Rh  0.375  0.250  0.125
Rh  0.500  0.000  0.500
Rh  0.500  0.500  0.000
Rh  0.125  0.750  0.375
Rh  0.750  0.125  0.875
Rh  0.750  0.625  0.375
Rh  0.375  0.125  0.750
Rh  0.625  0.875  0.250
Rh  0.500  0.500  0.500
Rh  0.500  0.000  0.000
Rh  0.000  0.000  0.500
Rh  0.250  0.375  0.625
Rh  0.250  0.875  0.125
Rh  0.000  0.500  0.500
Rh  0.875  0.250  0.625
Rh  0.625  0.750  0.875
Rh  0.875  0.625  0.750
N  0.711  0.130  0.035
N  0.324  0.535  0.405
N  0.965  0.370  0.289
N  0.535  0.211  0.130
N  0.581  0.711  0.676
N  0.965  0.595  0.176
N  0.324  0.789  0.419
N  0.095  0.919  0.130
N  0.595  0.965  0.676
N  0.711  0.581  0.176
N  0.789  0.465  0.370
N  0.824  0.905  0.035
N  0.130  0.711  0.535
N  0.370  0.405  0.081
N  0.081  0.905  0.370
N  0.419  0.130  0.595
N  0.081  0.176  0.211
N  0.465  0.676  0.095
N  0.824  0.919  0.289
N  0.130  0.419  0.095
N  0.370  0.965  0.789
N  0.595  0.630  0.419
N  0.905  0.824  0.535
N  0.789  0.324  0.919
N  0.405  0.370  0.581
N  0.095  0.176  0.465
N  0.211  0.676  0.081
N  0.176  0.081  0.711
N  0.630  0.035  0.211
N  0.870  0.581  0.905
N  0.535  0.324  0.905
N  0.581  0.870  0.405
N  0.919  0.824  0.789
N  0.919  0.095  0.630
N  0.870  0.289  0.465
N  0.176  0.095  0.965
N  0.630  0.595  0.919
N  0.405  0.035  0.324
N  0.289  0.419  0.824
N  0.211  0.535  0.630
N  0.905  0.081  0.870
N  0.676  0.211  0.581
N  0.465  0.789  0.870
N  0.035  0.405  0.824
N  0.419  0.289  0.324
N  0.035  0.630  0.711
N  0.676  0.465  0.595
N  0.289  0.870  0.965

***

3.
Pa2RhS2N2 after structural relaxation. Source: Alexandria, functional PBE.

Output
- Raw formation energy: -122 kJ per mole of atoms
- V: 19.77 A^3/atom
- Magnetization: 0.083 μB/atom
- D(E_F): 3.2 states/eV per cell
- VASP energy: -60.071 eV per formula unit

abc: 3.875 3.875 10.641
angles: 90.00 90.00 120.00
Last column: magnetic moment on the atom in μB.
Atoms (fractional coordinates):
Pa  0.667  0.333  0.361  -0.01
Pa  0.333  0.667  0.639  -0.01
Rh  0.000  0.000  0.000  0.54
S  0.000  0.000  0.212  0.01
S  0.000  0.000  0.788  0.01
N  0.667  0.333  0.577  0.00
N  0.333  0.667  0.423  0.00

***

4.
Pa2SbRhN5 after structural relaxation. Source: Alexandria, functional PBE.

Output
- Raw formation energy: -56 kJ per mole of atoms
- V: 15.40 A^3/atom
- Magnetization: 0.000 μB/atom
- D(E_F): 6.5 states/eV per cell
- VASP energy: -77.292 eV per formula unit

abc: 3.349 8.657 9.747
angles: 90.00 90.00 101.15
Atoms (fractional coordinates):
Pa  0.882  0.765  0.799
Pa  0.064  0.128  0.665
Pa  0.118  0.235  0.299
Pa  0.936  0.872  0.165
Sb  0.795  0.590  0.426
Sb  0.205  0.410  0.926
Rh  0.530  0.061  0.954
Rh  0.470  0.939  0.454
N  0.407  0.814  0.013
N  0.637  0.273  0.838
N  0.482  0.963  0.767
N  0.296  0.593  0.782
N  0.938  0.876  0.578
N  0.593  0.186  0.513
N  0.363  0.727  0.338
N  0.518  0.037  0.267
N  0.704  0.407  0.282
N  0.062  0.124  0.078

***

5.
Sc2PaRhN4 after structural relaxation. Source: Alexandria, functional PBE.

Output
- Raw formation energy: -115 kJ per mole of atoms
- V: 12.64 A^3/atom
- Magnetization: 0.000 μB/atom
- D(E_F): 10.3 states/eV per cell
- VASP energy: -72.335 eV per formula unit

abc: 3.282 5.846 10.986
angles: 90.00 90.00 106.30
Atoms (fractional coordinates):
Sc  0.375  0.749  0.549
Sc  0.625  0.251  0.049
Sc  0.625  0.251  0.451
Sc  0.375  0.749  0.951
Pa  0.115  0.229  0.750
Pa  0.885  0.771  0.250
Rh  0.854  0.708  0.750
Rh  0.146  0.292  0.250
N  0.286  0.571  0.124
N  0.714  0.429  0.624
N  0.714  0.429  0.876
N  0.286  0.571  0.376
N  0.000  0.000  0.500
N  0.000  0.000  0.000
N  0.466  0.932  0.750
N  0.534  0.068  0.250

***

6.
ScPa2RhN5 after structural relaxation. Source: Alexandria, functional PBE.

Output
- Raw formation energy: -115 kJ per mole of atoms
- V: 12.38 A^3/atom
- Magnetization: 0.000 μB/atom
- D(E_F): 5.1 states/eV per cell
- VASP energy: -85.044 eV per formula unit

abc: 3.323 6.741 10.260
angles: 90.00 90.00 104.27
Atoms (fractional coordinates):
Sc  0.799  0.598  0.507
Sc  0.201  0.402  0.007
Pa  0.853  0.705  0.802
Pa  0.106  0.212  0.682
Pa  0.147  0.295  0.302
Pa  0.894  0.788  0.182
Rh  0.527  0.053  0.955
Rh  0.473  0.947  0.455
N  0.366  0.733  0.997
N  0.679  0.358  0.864
N  0.484  0.969  0.769
N  0.278  0.555  0.668
N  0.949  0.898  0.580
N  0.634  0.267  0.497
N  0.321  0.642  0.364
N  0.516  0.031  0.269
N  0.722  0.445  0.168
N  0.051  0.102  0.080

***

7.
PaSiRhN after structural relaxation. Source: Alexandria, functional PBE.

Output
- Raw formation energy: -124 kJ per mole of atoms
- V: 15.93 A^3/atom
- Magnetization: 0.000 μB/atom
- D(E_F): 5.6 states/eV per cell
- VASP energy: -35.752 eV per formula unit

abc: 4.003 4.003 7.951
angles: 90.00 90.00 90.00
Atoms (fractional coordinates):
Pa  0.500  0.000  0.642
Pa  0.000  0.500  0.358
Si  0.000  0.500  0.839
Si  0.500  0.000  0.161
Rh  0.500  0.500  0.000
Rh  0.000  0.000  0.000
N  0.000  0.000  0.500
N  0.500  0.500  0.500

***

8.
SmPaRhN4 after structural relaxation. Source: Alexandria, functional PBE.

Output
- Raw formation energy: -71 kJ per mole of atoms
- V: 13.10 A^3/atom
- Magnetization: 0.000 μB/atom
- D(E_F): 2.9 states/eV per cell
- VASP energy: -60.045 eV per formula unit

abc: 3.897 3.897 6.637
angles: 107.07 107.07 90.00
Atoms (fractional coordinates):
Sm  0.647  0.647  0.294
Pa  0.364  0.364  0.728
Rh  0.006  0.006  0.013
N  0.983  0.483  0.966
N  0.483  0.983  0.966
N  0.830  0.830  0.660
N  0.187  0.187  0.374